[1]
Entry from Alexandria via LeMat-Bulk: a relaxed structure of CuAgP (PBE).

Cell lengths 8.4297, 3.8712, 6.6802 Å; angles 90.00, 90.00, 90.00 degrees
Closest atoms and distances in Å follow each position.
Positions (direct):
Cu1 0.2018 0.2500 0.2323  3 P 2.25-2.27
Cu2 0.2982 0.7500 0.7323  3 P 2.25-2.27
Cu3 0.7018 0.2500 0.2677  3 P 2.25-2.27
Cu4 0.7982 0.7500 0.7677  3 P 2.25-2.27
Ag1 0.0490 0.2500 0.8342  2 P 2.54-2.55
Ag2 0.4510 0.7500 0.3342  2 P 2.54-2.55
Ag3 0.5490 0.2500 0.6658  2 P 2.54-2.55
Ag4 0.9510 0.7500 0.1658  2 P 2.54-2.55
P1 0.2417 0.7500 0.0614  3 Cu 2.25-2.27
P2 0.2583 0.2500 0.5614  3 Cu 2.25-2.27
P3 0.7417 0.7500 0.4386  3 Cu 2.25-2.27
P4 0.7583 0.2500 0.9386  3 Cu 2.25-2.27

Computed properties:
E_form ... 0.399 eV/f.u.
E above lowest polymorph ... 39.0 meV per atom
E ... -3.99 eV per atom
Density of states at the Fermi level ... 0.6215 states/eV per atom
Crystal system ... orthorhombic


[2]
Entry from Alexandria via LeMat-Bulk: a relaxed structure of Tl2HgPdC (PBE).

Cell lengths 5.7473, 5.7473, 3.8521 Å; angles 90.00, 90.00, 90.00 degrees
Closest atoms and distances in Å follow each position.
Positions (direct):
Tl1 0.0000 0.5000 0.0000  2 Pd 2.87
Tl2 0.5000 0.0000 0.0000  2 Pd 2.87
Hg1 0.0000 0.0000 0.5000  8 Tl 3.46, 2 Hg 3.85
Pd1 0.5000 0.5000 0.0000  2 C 1.93
C1 0.5000 0.5000 0.5000  2 Pd 1.93

Computed properties:
E_form ... 3.322 eV/f.u.
E ... -3.23 eV per atom
Density of states at the Fermi level ... 0.7631 states/eV per atom
Crystal system ... tetragonal


[3]
Entry from Alexandria via LeMat-Bulk: a relaxed structure of Pr2Nd3Pt4 (PBE).

Cell lengths 7.7779, 7.7976, 8.1385 Å; angles 90.00, 108.24, 90.00 degrees
Closest atoms and distances in Å follow each position.
Positions (direct):
Pr1 0.2026 0.1791 0.0955  6 Pt 3.06-3.33
Pr2 0.2026 0.3209 0.5955  6 Pt 3.06-3.33
Pr3 0.7974 0.6791 0.4045  6 Pt 3.06-3.33
Pr4 0.7974 0.8209 0.9045  6 Pt 3.06-3.33
Nd1 0.2408 0.6663 0.2513  6 Pt 2.92-3.12
Nd2 0.2408 0.8337 0.7513  6 Pt 2.92-3.12
Nd3 0.5000 0.0000 0.5000  6 Pt 3.01-3.23
Nd4 0.5000 0.5000 0.0000  6 Pt 3.01-3.23
Nd5 0.7592 0.1663 0.2487  6 Pt 2.92-3.12
Nd6 0.7592 0.3337 0.7487  6 Pt 2.92-3.12
Pt1 0.0945 0.5303 0.8723  4 Nd 2.92-3.12, 1 Pt 2.94, 2 Pr 3.10-3.25
Pt2 0.0945 0.9697 0.3723  4 Nd 2.92-3.12, 1 Pt 2.94, 2 Pr 3.10-3.25
Pt3 0.4958 0.1304 0.8751  1 Pt 2.86, 4 Nd 3.01-3.10, 1 Pr 3.06
Pt4 0.4958 0.3696 0.3751  1 Pt 2.86, 4 Nd 3.01-3.10, 1 Pr 3.06
Pt5 0.5042 0.6304 0.6249  1 Pt 2.86, 4 Nd 3.01-3.10, 1 Pr 3.06
Pt6 0.5042 0.8696 0.1249  1 Pt 2.86, 4 Nd 3.01-3.10, 1 Pr 3.06
Pt7 0.9055 0.0303 0.6277  4 Nd 2.92-3.12, 1 Pt 2.94, 2 Pr 3.10-3.25
Pt8 0.9055 0.4697 0.1277  4 Nd 2.92-3.12, 1 Pt 2.94, 2 Pr 3.10-3.25

Computed properties:
E_form ... -9.169 eV/f.u.
E ... -6.35 eV per atom
Density of states at the Fermi level ... 0.6857 states/eV per atom
Crystal system ... monoclinic


[4]
Entry from Alexandria via LeMat-Bulk: a relaxed structure of Dy4PSe2Cl (PBE).

Cell lengths 7.0094, 4.0096, 7.0140 Å; angles 90.00, 108.92, 90.00 degrees
Closest atoms and distances in Å follow each position.
Positions (direct):
Dy1 0.2244 0.0000 0.2321  2 P 2.74, 3 Se 2.81-2.99, 1 Cl 2.90
Dy2 0.2267 0.5000 0.7527  1 P 2.71, 3 Se 2.80-3.00, 2 Cl 2.92
Dy3 0.7733 0.5000 0.2473  1 P 2.71, 3 Se 2.80-3.00, 2 Cl 2.92
Dy4 0.7756 0.0000 0.7679  2 P 2.74, 3 Se 2.81-2.99, 1 Cl 2.90
P1 0.0000 0.5000 0.0000  6 Dy 2.71-2.74
Se1 0.0000 0.0000 0.5000  6 Dy 2.80-2.81
Se2 0.5000 0.5000 0.5000  6 Dy 2.99-3.00
Cl1 0.5000 0.0000 0.0000  6 Dy 2.90-2.92

Computed properties:
E ... -5.70 eV per atom
Formation energy without anion corrections ... -1623.6 meV per atom
Density of states at the Fermi level ... 0.4348 states/eV per atom
Crystal system ... monoclinic


Question: The highest density of states at the Fermi level belongs to which entry?
Answer: Tl2HgPdC


What did the second record say?
Entry from Alexandria via LeMat-Bulk: a relaxed structure of Tl2HgPdC (PBE).

Cell lengths 5.7473, 5.7473, 3.8521 Å; angles 90.00, 90.00, 90.00 degrees
Closest atoms and distances in Å follow each position.
Positions (direct):
Tl1 0.0000 0.5000 0.0000  2 Pd 2.87
Tl2 0.5000 0.0000 0.0000  2 Pd 2.87
Hg1 0.0000 0.0000 0.5000  8 Tl 3.46, 2 Hg 3.85
Pd1 0.5000 0.5000 0.0000  2 C 1.93
C1 0.5000 0.5000 0.5000  2 Pd 1.93

Computed properties:
E_form ... 3.322 eV/f.u.
E ... -3.23 eV per atom
Density of states at the Fermi level ... 0.7631 states/eV per atom
Crystal system ... tetragonal


Question: Number 4 is which compound?
Answer: Dy4PSe2Cl